# 1
A relaxed Dy4Sb2O crystal, computed with GGA-PBE.

The structure in POSCAR format:
```
Dy4Sb2O
1.0
6.447 0.000 0.000
0.000 6.606 0.000
-2.832 0.000 8.413
Dy Sb O
8 4 2
direct
0.033 0.001 0.295
0.033 0.499 0.295
0.341 0.250 0.052
0.425 0.250 0.651
0.575 0.750 0.349
0.659 0.750 0.948
0.967 0.501 0.705
0.967 0.999 0.705
0.202 0.750 0.028
0.324 0.750 0.597
0.676 0.250 0.403
0.798 0.250 0.972
0.200 0.250 0.791
0.800 0.750 0.209
```

Results
VASP energy: -83.4 eV/cell
V: 25.6 A^3/atom
density: 8.4 g/cm³
size of the total moment: 0.00 Bohr magnetons per cell

# 2
A relaxed Ho3Tl5 crystal, computed with GGA-PBE.

The structure in POSCAR format:
```
Ho3Tl5
1.0
5.039 -4.047 0.000
5.039 4.047 0.000
0.000 0.000 10.549
Ho Tl
6 10
direct
0.103 0.897 0.750
0.292 0.292 0.000
0.292 0.292 0.500
0.708 0.708 0.000
0.708 0.708 0.500
0.897 0.103 0.250
0.011 0.436 0.750
0.200 0.800 0.035
0.200 0.800 0.465
0.436 0.011 0.250
0.499 0.501 0.750
0.501 0.499 0.250
0.564 0.989 0.750
0.800 0.200 0.535
0.800 0.200 0.965
0.989 0.564 0.250
```

Results
VASP energy: -55.4 eV/cell
ΔH_f (0 K): -208 kJ/mol of formula units
V: 26.9 A^3/atom
density: 11.7 g/cm³
size of the total moment: 0.00 Bohr magnetons per cell